(1)
Rb4TmNb3O12 after structural relaxation. Source: Alexandria, functional GGA-PBE.

a = 8.386 Å, b = 8.386 Å, c = 8.386 Å
α = 90.00°, β = 90.00°, γ = 90.00°
Space group Im-3m (No. 229)
Asymmetric unit:
Rb: 0.250 0.250 0.250 (multiplicity 8)
Tm: 0.000 0.000 0.000 (multiplicity 2)
Nb: 0.000 0.000 0.500 (multiplicity 6)
O: 0.000 0.000 0.267 (multiplicity 12)
O: 0.000 0.250 0.500 (multiplicity 12)

Computed properties:
* DOS at the Fermi energy: 0.604 states/eV per atom
* E_form (uncorrected): -2277 meV per atom
* total magnetic moment: 4.0 μB/cell

(2)
TeMo2Cl after structural relaxation. Source: Alexandria, functional GGA-PBE.

a = 3.142 Å, b = 5.579 Å, c = 8.597 Å
α = 90.00°, β = 90.00°, γ = 90.00°
Space group Cmmm (No. 65)
Asymmetric unit:
Te: 0.000 0.000 0.000 (multiplicity 2)
Mo: 0.000 0.500 0.253 (multiplicity 4)
Cl: 0.000 0.000 0.500 (multiplicity 2)

Computed properties:
* excess energy over the best structure of this formula in the dataset: 3.63 eV/f.u.
* DOS at the Fermi energy: 1.310 states/eV per atom
* E_form (uncorrected): 817 meV per atom
* total magnetic moment: 3.1 μB/cell

(3)
Fe2PtRh after structural relaxation. Source: Alexandria, functional GGA-PBE.

a = 5.467 Å, b = 5.476 Å, c = 7.335 Å
α = 90.00°, β = 90.00°, γ = 90.00°
Space group Fmmm (No. 69)
Asymmetric unit:
Fe: 0.250 0.250 0.250 (multiplicity 8)
Pt: 0.000 0.000 0.000 (multiplicity 4)
Rh: 0.000 0.000 0.500 (multiplicity 4)

Computed properties:
* DOS at the Fermi energy: 1.190 states/eV per atom
* energy of formation: -0.6 eV per formula unit
* total magnetic moment: 27.1 μB/cell

(4)
Ac6Ir2PtRh after structural relaxation. Source: Alexandria, functional GGA-PBE.

a = 7.5242 Å, b = 7.5242 Å, c = 20.9232 Å
α = 90.00°, β = 90.00°, γ = 120.00°
Space group R3 (No. 146, hexagonal axes)
Asymmetric unit:
Ac: 0.0105 0.3400 0.0000 (multiplicity 9)
Ac: 0.0186 0.6751 0.4985 (multiplicity 9)
Ir: 0.0000 0.0000 0.4200 (multiplicity 3)
Ir: 0.0000 0.0000 0.9201 (multiplicity 3)
Pt: 0.0000 0.0000 0.2430 (multiplicity 3)
Rh: 0.0000 0.0000 0.7432 (multiplicity 3)

Computed properties:
* DOS at the Fermi energy: 0.516 states/eV per atom
* energy of formation: -7.1 eV per formula unit
* total magnetic moment: 0.0 μB/cell

(5)
Ba2Al5Hg3 after structural relaxation. Source: Alexandria, functional GGA-PBE.

a = 4.662 Å, b = 4.662 Å, c = 11.794 Å
α = 90.00°, β = 90.00°, γ = 90.00°
Space group P-4m2 (No. 115)
Asymmetric unit:
Ba: 0.000 0.500 0.239 (multiplicity 2)
Al: 0.000 0.000 0.000 (multiplicity 1)
Al: 0.000 0.000 0.500 (multiplicity 1)
Al: 0.000 0.500 0.879 (multiplicity 2)
Al: 0.500 0.500 0.000 (multiplicity 1)
Hg: 0.000 0.500 0.647 (multiplicity 2)
Hg: 0.500 0.500 0.500 (multiplicity 1)

Computed properties:
* DOS at the Fermi energy: 0.425 states/eV per atom
* energy of formation: -2.6 eV per formula unit
* total magnetic moment: 0.0 μB/cell

(6)
SrSbAs after structural relaxation. Source: Alexandria, functional GGA-PBE.

a = 6.103 Å, b = 8.728 Å, c = 6.427 Å
α = 90.00°, β = 90.00°, γ = 90.00°
Space group Cmcm (No. 63)
Asymmetric unit:
Sr: 0.000 0.146 0.250 (multiplicity 4)
Sb: 0.000 0.500 0.000 (multiplicity 4)
As: 0.000 0.219 0.750 (multiplicity 4)

Computed properties:
* excess energy over the best structure of this formula in the dataset: 0.45 eV/f.u.
* DOS at the Fermi energy: 0.649 states/eV per atom
* E_form (uncorrected): -588 meV per atom
* total magnetic moment: 0.0 μB/cell